[1]
Density functional theory data (GGA-PBE) for a relaxed structure of Ta2TePb.

The structure belongs to space group Cmm2 (No. 35); the cell edges are 3.637, 5.086 and 10.529 Å and the angles 90.00°, 90.00° and 90.00°. The distinct sites, in fractional coordinates, are Ta at (0.000, 0.000, 0.000), Ta at (0.000, 0.500, 0.197), Te at (0.000, 0.000, 0.405) and Pb at (0.000, 0.500, 0.762).

The calculation puts the uncorrected formation energy at 58.3 kJ/mol of formula units. The value obtained for the total energy is -7.49 eV per atom. Its total magnetization is 0.00 μB/f.u. As for the energy relative to the lowest polymorph listed for this composition: 0.077 eV per atom.


[2]
Density functional theory data (GGA-PBE) for a relaxed structure of TaTe2Pb2.

The structure belongs to space group P4/mbm (No. 127); the cell edges are 7.174, 7.174 and 5.837 Å and the angles 90.00°, 90.00° and 90.00°. The distinct sites, in fractional coordinates, are Ta at (0.000, 0.000, 0.000), Te at (0.158, 0.342, 0.000) and Pb at (0.189, 0.689, 0.500).

The calculation puts the uncorrected formation energy at 124.4 kJ/mol of formula units. The value obtained for the total energy is -4.85 eV per atom. Its total magnetization is 0.00 μB/f.u. As for the energy relative to the lowest polymorph listed for this composition: 0.000 eV per atom.


[3]
Density functional theory data (GGA-PBE) for a relaxed structure of Ta2TePb.

The structure belongs to space group P4/mmm (No. 123); the cell edges are 3.425, 3.425 and 7.014 Å and the angles 90.00°, 90.00° and 90.00°. The distinct sites, in fractional coordinates, are Ta at (0.000, 0.000, 0.243), Te at (0.500, 0.500, 0.000) and Pb at (0.500, 0.500, 0.500).

The calculation puts the uncorrected formation energy at 176.3 kJ/mol of formula units. The value obtained for the total energy is -7.18 eV per atom. Its total magnetization is 0.00 μB/f.u. As for the energy relative to the lowest polymorph listed for this composition: 0.383 eV per atom.


[4]
Density functional theory data (GGA-PBE) for a relaxed structure of Ta2TePb.

The structure belongs to space group Pm (No. 6); the cell edges are 3.249, 5.080 and 5.542 Å and the angles 90.00°, 105.29° and 90.00°. The distinct sites, in fractional coordinates, are Ta at (0.000, 0.000, 0.000), Ta at (0.307, 0.500, 0.782), Te at (0.010, 0.500, 0.212) and Pb at (0.651, 0.000, 0.490).

The calculation puts the uncorrected formation energy at 160.2 kJ/mol of formula units. The value obtained for the total energy is -7.22 eV per atom. Its total magnetization is 0.00 μB/f.u. As for the energy relative to the lowest polymorph listed for this composition: 0.341 eV per atom.